Entry 1:
# Rb3YSb2O9

A geometry-optimized Rb3YSb2O9 structure (GGA-PBE, the Alexandria database).

Computed properties:
Space-group type ... P-3m1 (164)
DOS(E_F) ... 0.6507 states/eV/atom
Crystal system ... trigonal

abc: 5.9656 5.9656 7.3494
angles: 90.00 90.00 120.00
Element x y z (fractional)
Rb 0.3333 0.6667 0.6639
Rb 0.0000 0.0000 0.0000
Rb 0.6667 0.3333 0.3361
Y 0.0000 0.0000 0.5000
Sb 0.3333 0.6667 0.1602
Sb 0.6667 0.3333 0.8398
O 0.8237 0.1763 0.6851
O 0.8237 0.6474 0.6851
O 0.3526 0.1763 0.6851
O 0.6474 0.8237 0.3149
O 0.1763 0.3526 0.3149
O 0.1763 0.8237 0.3149
O 0.5000 0.0000 0.0000
O 0.0000 0.5000 0.0000
O 0.5000 0.5000 0.0000

=====

Entry 2:
# Rb2YSb2O6

A geometry-optimized Rb2YSb2O6 structure (GGA-PBE, the Alexandria database).

Computed properties:
Space-group type ... C2/m (12)
DOS(E_F) ... 0.1437 states/eV/atom
Crystal system ... monoclinic

abc: 6.3337 6.0591 7.5141
angles: 111.13 90.00 121.51
Element x y z (fractional)
Rb 0.7040 0.4081 0.1601
Rb 0.2960 0.5919 0.8399
Y 0.5000 0.0000 0.5000
Sb 0.9279 0.8558 0.7650
Sb 0.0721 0.1442 0.2350
O 0.7355 0.4711 0.5592
O 0.2120 0.9366 0.2658
O 0.2754 0.0634 0.7342
O 0.7880 0.0634 0.7342
O 0.7246 0.9366 0.2658
O 0.2645 0.5289 0.4408

=====

Entry 3:
# Rb2Y2SbO6

A geometry-optimized Rb2Y2SbO6 structure (GGA-PBE, the Alexandria database).

Computed properties:
Space-group type ... C2/m (12)
DOS(E_F) ... 0.4752 states/eV/atom
Crystal system ... monoclinic

abc: 5.9551 5.9551 6.9670
angles: 97.85 97.85 119.80
Element x y z (fractional)
Rb 0.8348 0.1652 0.0000
Rb 0.1652 0.8348 0.0000
Y 0.3346 0.6654 0.5000
Y 0.6654 0.3346 0.5000
Sb 0.0000 0.0000 0.5000
O 0.7398 0.7398 0.6659
O 0.0484 0.3722 0.6656
O 0.2602 0.2602 0.3341
O 0.3722 0.0484 0.6656
O 0.9516 0.6278 0.3344
O 0.6278 0.9516 0.3344

=====

Entry 4:
# Rb3YSb2O8

A geometry-optimized Rb3YSb2O8 structure (GGA-PBE, the Alexandria database).

Computed properties:
Space-group type ... P-3m1 (164)
DOS(E_F) ... 0.0000 states/eV/atom
Crystal system ... trigonal

abc: 6.2402 6.2402 8.1023
angles: 90.00 90.00 120.00
Element x y z (fractional)
Rb 0.3333 0.6667 0.6838
Rb 0.6667 0.3333 0.3162
Rb 0.0000 0.0000 0.0000
Y 0.0000 0.0000 0.5000
Sb 0.3333 0.6667 0.2417
Sb 0.6667 0.3333 0.7583
O 0.3333 0.6667 0.0113
O 0.6667 0.3333 0.9887
O 0.1698 0.8302 0.3338
O 0.8302 0.1698 0.6662
O 0.1698 0.3395 0.3338
O 0.8302 0.6605 0.6662
O 0.6605 0.8302 0.3338
O 0.3395 0.1698 0.6662

=====

Entry 5:
# Rb3YSb2O6

A geometry-optimized Rb3YSb2O6 structure (GGA-PBE, the Alexandria database).

Computed properties:
Space-group type ... P-3m1 (164)
DOS(E_F) ... 0.0000 states/eV/atom
Crystal system ... trigonal

abc: 6.2177 6.2177 7.5608
angles: 90.00 90.00 120.00
Element x y z (fractional)
Rb 0.3333 0.6667 0.6588
Rb 0.6667 0.3333 0.3412
Rb 0.0000 0.0000 0.0000
Y 0.0000 0.0000 0.5000
Sb 0.6667 0.3333 0.8006
Sb 0.3333 0.6667 0.1994
O 0.6559 0.8279 0.3204
O 0.1721 0.3441 0.3204
O 0.1721 0.8279 0.3204
O 0.8279 0.6559 0.6796
O 0.3441 0.1721 0.6796
O 0.8279 0.1721 0.6796

=====

Entry 6:
# RbZnSbO4

A geometry-optimized RbZnSbO4 structure (GGA-PBE, the Alexandria database).

Computed properties:
Space-group type ... I-4 (82)
DOS(E_F) ... 0.0000 states/eV/atom
Crystal system ... tetragonal

abc: 5.9357 5.9357 5.7584
angles: 121.02 121.02 90.00
Element x y z (fractional)
Rb 0.0000 0.0000 0.0000
Zn 0.2500 0.7500 0.5000
Sb 0.5000 0.5000 0.0000
O 0.2360 0.1305 0.7282
O 0.4024 0.7640 0.2718
O 0.4922 0.5976 0.7282
O 0.8695 0.5078 0.2718

=====

Entry 7:
# Rb2Zn2SbO6

A geometry-optimized Rb2Zn2SbO6 structure (GGA-PBE, the Alexandria database).

Computed properties:
Space-group type ... R-3m (166)
DOS(E_F) ... 0.5437 states/eV/atom
Crystal system ... trigonal

abc: 5.9577 5.9577 7.0378
angles: 64.96 64.96 60.00
Element x y z (fractional)
Rb 0.7940 0.7940 0.6179
Rb 0.2060 0.2060 0.3821
Zn 0.3895 0.3895 0.8314
Zn 0.6105 0.6105 0.1686
Sb 0.0000 0.0000 0.0000
O 0.7795 0.7795 0.2035
O 0.2376 0.7795 0.2035
O 0.7795 0.2376 0.2035
O 0.2205 0.7624 0.7965
O 0.7624 0.2205 0.7965
O 0.2205 0.2205 0.7965

=====

Entry 8:
# Rb2ZrSb3O12

A geometry-optimized Rb2ZrSb3O12 structure (GGA-PBE, the Alexandria database).

Computed properties:
Space-group type ... R-3m (166)
DOS(E_F) ... 0.5137 states/eV/atom
Crystal system ... trigonal

abc: 7.5728 7.5728 7.5728
angles: 58.86 58.86 58.86
Element x y z (fractional)
Rb 0.6222 0.6222 0.6222
Rb 0.3778 0.3778 0.3778
Zr 0.0000 0.0000 0.0000
Sb 0.5000 0.0000 0.0000
Sb 0.0000 0.5000 0.0000
Sb 0.0000 0.0000 0.5000
O 0.3218 0.3218 0.9217
O 0.9293 0.9293 0.3325
O 0.3325 0.9293 0.9293
O 0.9217 0.3218 0.3218
O 0.9293 0.3325 0.9293
O 0.3218 0.9217 0.3218
O 0.6782 0.6782 0.0783
O 0.0707 0.0707 0.6675
O 0.6675 0.0707 0.0707
O 0.0783 0.6782 0.6782
O 0.0707 0.6675 0.0707
O 0.6782 0.0783 0.6782

=====

Entry 9:
# RbZrSbO5

A geometry-optimized RbZrSbO5 structure (GGA-PBE, the Alexandria database).

Computed properties:
Space-group type ... C2/c (15)
DOS(E_F) ... 0.0000 states/eV/atom
Crystal system ... monoclinic

abc: 6.2940 6.2940 7.9474
angles: 104.89 104.89 105.77
Element x y z (fractional)
Rb 0.3266 0.6734 0.2500
Rb 0.6734 0.3266 0.7500
Zr 0.0000 0.0000 0.5000
Zr 0.0000 0.0000 0.0000
Sb 0.6910 0.3090 0.2500
Sb 0.3090 0.6910 0.7500
O 0.0496 0.9504 0.2500
O 0.9504 0.0496 0.7500
O 0.8867 0.2909 0.1029
O 0.1133 0.7091 0.8971
O 0.7091 0.1133 0.3971
O 0.2909 0.8867 0.6029
O 0.7777 0.6260 0.4097
O 0.2223 0.3740 0.5903
O 0.3740 0.2223 0.0903
O 0.6260 0.7777 0.9097

=====

Entry 10:
# RbZr2SbO

A geometry-optimized RbZr2SbO structure (GGA-PBE, the Alexandria database).

Computed properties:
Space-group type ... P4/mmm (123)
DOS(E_F) ... 1.4259 states/eV/atom
Crystal system ... tetragonal

abc: 5.1069 5.6633 5.1069
angles: 90.00 90.00 90.00
Element x y z (fractional)
O 0.5000 0.5000 0.5000
Sb 0.0000 0.5000 0.0000
Rb 0.0000 0.0000 0.0000
Zr 0.0000 0.0000 0.5000
Zr 0.5000 0.0000 0.0000

=====

Entry 11:
# RbZrSb2O

A geometry-optimized RbZrSb2O structure (GGA-PBE, the Alexandria database).

Computed properties:
Space-group type ... P4/mmm (123)
DOS(E_F) ... 1.6393 states/eV/atom
Crystal system ... tetragonal

abc: 5.8380 5.2058 5.8380
angles: 90.00 90.00 90.00
Element x y z (fractional)
O 0.5000 0.5000 0.5000
Sb 0.0000 0.0000 0.5000
Sb 0.5000 0.0000 0.0000
Rb 0.0000 0.0000 0.0000
Zr 0.0000 0.5000 0.0000

=====

Entry 12:
# RbZrSb2O8

A geometry-optimized RbZrSb2O8 structure (GGA-PBE, the Alexandria database).

Computed properties:
Space-group type ... C2/m (12)
Crystal system ... monoclinic

abc: 5.0402 5.0379 6.8797
angles: 89.94 89.94 86.43
Element x y z (fractional)
Rb 0.0000 0.0000 0.5000
Zr 0.0000 0.0000 0.0000
Sb 0.5000 0.5000 0.7697
Sb 0.5000 0.5000 0.2303
O 0.2207 0.7777 0.2056
O 0.6917 0.6924 0.0000
O 0.7784 0.2215 0.2056
O 0.7793 0.2223 0.7944
O 0.3083 0.3076 0.0000
O 0.2216 0.7785 0.7944
O 0.6457 0.6469 0.4996
O 0.3543 0.3531 0.5004

=====

Entry 13:
# RbZrSbO6

A geometry-optimized RbZrSbO6 structure (GGA-PBE, the Alexandria database).

Computed properties:
Space-group type ... P-31c (163)
DOS(E_F) ... 0.4920 states/eV/atom
Crystal system ... trigonal

abc: 5.7952 5.7952 11.5186
angles: 90.00 90.00 120.00
Element x y z (fractional)
Rb 0.0000 0.0000 0.0000
Rb 0.0000 0.0000 0.5000
Zr 0.6667 0.3333 0.2500
Zr 0.3333 0.6667 0.7500
Sb 0.3333 0.6667 0.2500
Sb 0.6667 0.3333 0.7500
O 0.5799 0.5941 0.1554
O 0.0142 0.4201 0.1554
O 0.4201 0.0142 0.6554
O 0.9858 0.5799 0.8446
O 0.4059 0.4201 0.3446
O 0.0142 0.5941 0.3446
O 0.5941 0.0142 0.8446
O 0.5799 0.9858 0.3446
O 0.9858 0.4059 0.6554
O 0.4059 0.9858 0.1554
O 0.5941 0.5799 0.6554
O 0.4201 0.4059 0.8446

=====

Entry 14:
# RbScO2

A geometry-optimized RbScO2 structure (GGA-PBE, the Alexandria database).

Computed properties:
Space-group type ... Cmcm (63)
DOS(E_F) ... 0.0000 states/eV/atom
Crystal system ... orthorhombic

abc: 6.9870 3.4780 6.3590
angles: 90.00 89.96 75.59
Element x y z (fractional)
Sc 0.9953 0.2276 0.3942
Sc 0.6483 0.4011 0.8946
Rb 0.1197 0.6653 0.8940
Rb 0.5240 0.9632 0.3948
O 0.8219 0.3143 0.6445
O 0.1514 0.6496 0.3941
O 0.8218 0.3144 0.1445
O 0.4923 0.9791 0.8945

=====

Entry 15:
# RbScO2

A geometry-optimized RbScO2 structure (GGA-PBE, the Alexandria database).

Computed properties:
Space-group type ... C2/c (15)
DOS(E_F) ... 0.0000 states/eV/atom
Crystal system ... monoclinic

abc: 6.8859 6.7376 6.7376
angles: 83.67 120.81 59.19
Element x y z (fractional)
Sc 0.7500 0.2704 0.7704
Sc 0.2500 0.7296 0.2296
O 0.1719 0.0672 0.1227
O 0.3281 0.6227 0.5672
O 0.8281 0.9328 0.8773
O 0.6719 0.3773 0.4328
Rb 0.7500 0.9095 0.4095
Rb 0.2500 0.0905 0.5905

=====

Entry 16:
# Rb3ScO3

A geometry-optimized Rb3ScO3 structure (GGA-PBE, the Alexandria database).

Computed properties:
Space-group type ... C2/m (12)
Polymorph energy (0 for the lowest one) ... 6.0 meV/atom
DOS(E_F) ... 0.0000 states/eV/atom
Crystal system ... monoclinic

abc: 7.1216 7.1216 7.1228
angles: 95.88 95.88 115.93
Element x y z (fractional)
Rb 0.6354 0.6354 0.3530
Rb 0.2024 0.7976 0.5000
Rb 0.7976 0.2024 0.5000
Rb 0.2618 0.7382 0.0000
Rb 0.7382 0.2618 0.0000
Rb 0.3646 0.3646 0.6470
Sc 0.8312 0.8312 0.8519
Sc 0.1688 0.1688 0.1481
O 0.8982 0.8982 0.1463
O 0.8403 0.5728 0.7340
O 0.5728 0.8403 0.7340
O 0.1597 0.4272 0.2660
O 0.4272 0.1597 0.2660
O 0.1018 0.1018 0.8537

=====

Entry 17:
# Rb3ScO3

A geometry-optimized Rb3ScO3 structure (GGA-PBE, the Alexandria database).

Computed properties:
Space-group type ... P2_1/c (14)
Polymorph energy (0 for the lowest one) ... 0.0 meV/atom
DOS(E_F) ... 0.0000 states/eV/atom
Crystal system ... monoclinic

abc: 7.2122 7.7294 11.4805
angles: 94.98 90.00 90.00
Element x y z (fractional)
Rb 0.8771 0.9416 0.8447
Rb 0.6229 0.9416 0.3447
Rb 0.1860 0.6267 0.6911
Rb 0.6651 0.6453 0.5772
Rb 0.3140 0.6267 0.1911
Rb 0.8349 0.6453 0.0772
Rb 0.1651 0.3547 0.9228
Rb 0.6860 0.3733 0.8089
Rb 0.3349 0.3547 0.4228
Rb 0.8140 0.3733 0.3089
Rb 0.3771 0.0584 0.6553
Rb 0.1229 0.0584 0.1553
Sc 0.4150 0.8449 0.9330
Sc 0.0850 0.8449 0.4330
Sc 0.9150 0.1551 0.5670
Sc 0.5850 0.1551 0.0670
O 0.9461 0.8935 0.5889
O 0.5539 0.8935 0.0889
O 0.1622 0.7543 0.9562
O 0.3378 0.7543 0.4562
O 0.5493 0.7052 0.8098
O 0.9507 0.7052 0.3098
O 0.0493 0.2948 0.6902
O 0.4507 0.2948 0.1902
O 0.6622 0.2457 0.5438
O 0.8378 0.2457 0.0438
O 0.4461 0.1065 0.9111
O 0.0539 0.1065 0.4111

=====

Entry 18:
# RbScO2

A geometry-optimized RbScO2 structure (GGA-PBE, the Alexandria database).

Computed properties:
Space-group type ... P3m1 (156)
DOS(E_F) ... 0.0000 states/eV/atom
Crystal system ... trigonal

abc: 3.2987 3.2987 6.7856
angles: 90.00 90.00 120.00
Element x y z (fractional)
Sc 0.0000 0.0000 0.9908
O 0.3333 0.6667 0.8481
O 0.6667 0.3333 0.1636
Rb 0.3333 0.6667 0.4525

=====

Entry 19:
# Rb5Sc2O6

A geometry-optimized Rb5Sc2O6 structure (GGA-PBE, the Alexandria database).

Computed properties:
Space-group type ... C2/c (15)
DOS(E_F) ... 0.7766 states/eV/atom
Crystal system ... monoclinic

abc: 6.8604 6.8604 15.1080
angles: 81.41 81.41 64.91
Element x y z (fractional)
Rb 0.6831 0.2142 0.9988
Rb 0.7858 0.3169 0.5012
Rb 0.3169 0.7858 0.0012
Rb 0.2142 0.6831 0.4988
Rb 0.7679 0.9313 0.7122
Rb 0.0687 0.2321 0.7878
Rb 0.2321 0.0687 0.2878
Rb 0.9313 0.7679 0.2122
Rb 0.3864 0.6136 0.7500
Rb 0.6136 0.3864 0.2500
Sc 0.3480 0.1008 0.5745
Sc 0.8992 0.6520 0.9255
Sc 0.6520 0.8992 0.4255
Sc 0.1008 0.3480 0.0745
O 0.1028 0.0284 0.6225
O 0.9716 0.8972 0.8775
O 0.8972 0.9716 0.3775
O 0.0284 0.1028 0.1225
O 0.3888 0.3017 0.6431
O 0.6983 0.6112 0.8569
O 0.6112 0.6983 0.3569
O 0.3017 0.3888 0.1431
O 0.6225 0.8245 0.5605
O 0.1755 0.3775 0.9395
O 0.3775 0.1755 0.4395
O 0.8245 0.6225 0.0605

=====

Entry 20:
# RbScO2

A geometry-optimized RbScO2 structure (GGA-PBE, the Alexandria database).

Computed properties:
Space-group type ... R3m (160)
DOS(E_F) ... 0.0000 states/eV/atom
Crystal system ... trigonal

abc: 3.2757 3.2757 6.7785
angles: 76.02 76.02 60.00
Element x y z (fractional)
Rb 0.4977 0.4977 0.5069
Sc 0.6670 0.6670 0.9991
O 0.0568 0.0568 0.8296
O 0.2785 0.2785 0.1644

=====

Uncorrected formation energy / meV/atom: -1656, -1837, -2302, -1874, -1969, -1448, -1324, -1560, -2114, 2372, 2218, -1578, -1697, -2657, -2551, -1995, -2001, -2568, -1974, -2628